Entry 1:
! SiBi3I, optimized geometry, DFT PBE; values from VASP
! * energy relative to the lowest polymorph listed for this composition: 0.00 eV per formula unit
! * formation energy (no corrections): 0.5231 eV/atom
! * symmetry: Pm-3m
! * Fermi-level density of states: 4.28 states/eV/cell
&SYSTEM
  ibrav = 0, nat = 5, ntyp = 3
/
ATOMIC_SPECIES
Bi 208.98 Bi.upf
Si 28.09 Si.upf
I 126.90 I.upf
ATOMIC_POSITIONS angstrom
Bi -0.776 -0.615 -2.578
Bi -1.095 2.520 -0.272
Bi -2.413 -0.946 0.952
Si 0.000 0.000 0.000
I -4.284 0.959 -1.897
CELL_PARAMETERS angstrom
-2.190 5.040 -0.543
-1.551 -1.230 -5.156
-4.826 -1.892 1.904


Entry 2:
! NaGaAu3, optimized geometry, DFT PBE; values from VASP
! * energy relative to the lowest polymorph listed for this composition: 0.06 eV per formula unit
! * symmetry: P1
! * Fermi-level density of states: 3.15 states/eV/cell
! * formation energy from the elements: -234 meV/atom
&SYSTEM
  ibrav = 0, nat = 10, ntyp = 3
/
ATOMIC_SPECIES
Au 196.97 Au.upf
Ga 69.72 Ga.upf
Na 22.99 Na.upf
ATOMIC_POSITIONS angstrom
Au -5.317 -3.193 5.884
Au -6.370 -2.143 1.113
Au -2.369 0.033 1.826
Au -6.745 -4.384 2.692
Au -4.793 -0.007 3.669
Au -3.172 -1.350 5.581
Ga -4.578 -0.361 0.706
Ga -6.560 -1.801 4.131
Na -7.356 0.760 1.625
Na -3.780 -2.884 3.194
CELL_PARAMETERS angstrom
-1.870 2.657 3.444
-5.590 -0.775 -2.606
-0.953 -5.472 3.714


Entry 3:
! DyPaZnNi, optimized geometry, DFT PBE; values from VASP
! * symmetry: F-43m
! * Fermi-level density of states: 5.09 states/eV/cell
! * formation energy from the elements: -75 meV/atom
&SYSTEM
  ibrav = 0, nat = 4, ntyp = 4
/
ATOMIC_SPECIES
Ni 58.69 Ni.upf
Dy 162.50 Dy.upf
Zn 65.41 Zn.upf
Pa 231.04 Pa.upf
ATOMIC_POSITIONS angstrom
Ni 0.602 -1.408 2.575
Dy 1.203 -2.815 5.149
Zn 1.805 -4.223 7.724
Pa 0.000 0.000 0.000
CELL_PARAMETERS angstrom
-1.100 -3.863 2.792
3.493 -2.189 2.633
0.014 0.421 4.873


Entry 4:
! Hg3S2F2, optimized geometry, DFT PBE; values from VASP
! * energy relative to the lowest polymorph listed for this composition: 0.50 eV per formula unit
! * formation energy (no corrections): -0.6909 eV/atom
! * symmetry: C2/m
! * Fermi-level density of states: 0.00 states/eV/cell
&SYSTEM
  ibrav = 0, nat = 7, ntyp = 3
/
ATOMIC_SPECIES
Hg 200.59 Hg.upf
S 32.06 S.upf
F 19.00 F.upf
ATOMIC_POSITIONS angstrom
Hg 1.281 5.032 4.304
Hg 0.000 0.000 0.000
Hg 3.295 2.054 3.085
S 3.979 5.986 5.383
S 0.597 1.100 2.006
F 3.087 4.030 2.385
F 1.489 3.056 5.004
CELL_PARAMETERS angstrom
4.367 0.000 -1.299
0.334 5.973 1.122
-0.126 1.113 7.567


Entry 5:
! KNiRu, optimized geometry, DFT PBE; values from VASP
! * energy relative to the lowest polymorph listed for this composition: 0.37 eV per formula unit
! * symmetry: I4mm
! * Fermi-level density of states: 2.64 states/eV/cell
! * formation energy from the elements: 764 meV/atom
&SYSTEM
  ibrav = 0, nat = 3, ntyp = 3
/
ATOMIC_SPECIES
K 39.10 K.upf
Ru 101.07 Ru.upf
Ni 58.69 Ni.upf
ATOMIC_POSITIONS angstrom
K 12.305 2.913 0.227
Ru 9.070 2.146 1.036
Ni 4.031 0.952 2.297
CELL_PARAMETERS angstrom
6.536 -0.103 0.109
5.797 3.022 0.111
0.740 0.173 3.120


Entry 6:
! Mo3HS, optimized geometry, DFT PBE; values from VASP
! * energy relative to the lowest polymorph listed for this composition: 0.00 eV per formula unit
! * symmetry: Pm-3m
! * Fermi-level density of states: 7.00 states/eV/cell
&SYSTEM
  ibrav = 0, nat = 5, ntyp = 3
/
ATOMIC_SPECIES
Mo 95.94 Mo.upf
S 32.06 S.upf
H 1.01 H.upf
ATOMIC_POSITIONS angstrom
Mo 0.000 0.000 1.995
Mo 0.000 1.995 0.000
Mo 1.995 0.000 0.000
S 1.995 1.995 1.995
H 0.000 0.000 0.000
CELL_PARAMETERS angstrom
3.990 0.000 0.000
0.000 3.990 0.000
0.000 0.000 3.990